NaBeRe, optimized geometry, DFT PBE; ρ = 6.833 g/cm3; E = -10.42 eV/cell; crystal system = cubic
1.0
-1.3596 -3.9791 -0.3195
0.4474 -2.6486 3.2509
-3.3853 -1.2530 2.1802
Be Na Re
1 1 1
Cartesian
-1.0744 -1.9702 1.2779
0.0000 0.0000 0.0000
-3.2231 -5.9105 3.8337

NbCuGeAu, optimized geometry, DFT PBE; ρ = 10.533 g/cm3; E = -20.47 eV/cell; crystal system = cubic
1.0
4.2831 1.5687 0.1179
0.9220 3.9635 2.0640
2.3075 0.0399 3.9361
Au Cu Ge Nb
1 1 1 1
Cartesian
1.8781 1.3930 1.5295
5.6344 4.1790 4.5885
0.0000 0.0000 0.0000
3.7563 2.7860 3.0590

YTlZnSe3, optimized geometry, DFT PBE; ρ = 6.115 g/cm3; E = -53.04 eV/cell; crystal system = monoclinic
1.0
8.7028 -2.0983 0.0000
8.7028 2.0983 0.0000
-2.2121 0.0000 8.8568
Se Tl Y Zn
6 2 2 2
Cartesian
8.7028 0.0000 0.0000
5.4738 0.0000 1.8440
10.6740 0.0000 3.2390
-1.1061 0.0000 4.4284
4.5196 0.0000 5.6179
9.7197 0.0000 7.0128
2.2841 0.0000 0.6011
12.9095 0.0000 8.2557
13.5036 0.0000 3.6449
1.6900 0.0000 5.2120
7.9021 0.0000 2.5034
7.2914 0.0000 6.3534

TbAgSnS3, optimized geometry, DFT PBE; ρ = 5.469 g/cm3; E = -119.25 eV/cell; crystal system = orthorhombic
1.0
13.0828 0.0000 0.0000
0.0000 4.0548 0.0000
0.0000 0.0000 11.0284
Ag S Sn Tb
4 12 4 4
Cartesian
0.3079 3.0411 0.9810
6.8494 3.0411 4.5332
6.2335 1.0137 6.4952
12.7749 1.0137 10.0474
5.0882 3.0411 0.6523
11.6734 1.0137 1.4198
8.3829 3.0411 2.5075
1.8415 3.0411 3.0067
5.1320 1.0137 4.0944
11.6297 3.0411 4.8619
1.4532 1.0137 6.1665
7.9509 3.0411 6.9340
11.2414 1.0137 8.0217
4.7000 1.0137 8.5209
1.4095 3.0411 9.6086
7.9946 1.0137 10.3761
9.9075 3.0411 0.3465
3.3661 3.0411 5.1677
9.7167 1.0137 5.8607
3.1753 1.0137 10.6819
6.6783 1.0137 1.7700
0.1369 1.0137 3.7442
12.9459 3.0411 7.2843
6.4045 3.0411 9.2584

GdDyTeO2, optimized geometry, DFT PBE; ρ = 8.255 g/cm3; E = -37.13 eV/cell; crystal system = tetragonal
1.0
2.6514 0.9388 6.2299
-2.3675 -1.4463 6.2471
1.0490 -2.2532 -6.3676
Dy Gd O Te
1 1 2 1
Cartesian
0.0958 -0.1713 4.2101
0.1876 -0.3354 8.2432
1.9215 -0.7847 3.0656
-0.5880 -1.9773 3.0742
0.2837 -0.5073 12.4705

TbBe2, optimized geometry, DFT PBE; ρ = 0.962 g/cm3; E = -8.90 eV/cell; crystal system = cubic
1.0
0.0000 6.7336 6.7336
6.7336 0.0000 6.7336
6.7336 6.7336 0.0000
Be Tb
4 2
Cartesian
5.0502 8.4170 8.4170
8.4170 5.0502 8.4170
5.0502 5.0502 5.0502
8.4170 8.4170 5.0502
3.3668 3.3668 3.3668
6.7336 6.7336 6.7336